# Ge3Te2Se | the Alexandria database | PBEsol | optimized geometry
# ΔE_f (raw) in meV per atom: -131
# Magnetic moment in μB/f.u.: 0.00
data_Ge3Te2Se
_cell_length_a 4.0955
_cell_length_b 4.0955
_cell_length_c 9.9942
_cell_angle_alpha 90.00
_cell_angle_beta 90.00
_cell_angle_gamma 120.00
_space_group_name_H-M_alt 'P -3 m 1'
_space_group_IT_number 164
_space_group_name_Hall '-P 3 2"'
loop_
_atom_site_label
_atom_site_type_symbol
_atom_site_fract_x
_atom_site_fract_y
_atom_site_fract_z
_atom_site_occupancy
Ge1 Ge 0.0000 0.0000 0.0000 1
Ge2 Ge 0.3333 0.6667 0.6518 1
Te1 Te 0.3333 0.6667 0.1741 1
Se1 Se 0.0000 0.0000 0.5000 1